A relaxed Ta2SiAg crystal, computed with PBE.

Unit cell a=9.649 b=9.649 c=9.649 alpha=17.29 beta=17.29 gamma=17.29
Positions (direct):
1 Ta 0.000 0.000 0.000
2 Ta 0.243 0.243 0.243
3 Si 0.742 0.742 0.742
4 Ag 0.489 0.489 0.489

## Properties
Its spin magnetization is 0.00 μB/f.u. The energy relative to the elements, uncorrected comes out at 0.18 eV per atom.

=====

A relaxed Ga2CoHgBi crystal, computed with PBE.

Unit cell a=4.637 b=4.637 c=5.230 alpha=90.00 beta=90.00 gamma=90.00
Positions (direct):
1 Ga 0.000 0.500 0.000
2 Ga 0.500 0.000 0.000
3 Co 0.000 0.000 0.000
4 Hg 0.500 0.500 0.500
5 Bi 0.000 0.000 0.500

## Properties
Its spin magnetization is 0.00 μB/f.u. The calculation puts the formation energy at 0.030 eV per atom.

=====

A relaxed ReOs crystal, computed with PBE.

Unit cell a=2.743 b=2.743 c=3.896 alpha=90.00 beta=90.00 gamma=90.00
Positions (direct):
1 Re 0.000 0.000 0.000
2 Os 0.500 0.500 0.500

## Properties
Its spin magnetization is 0.00 μB/f.u. The calculation puts the formation energy at 0.044 eV per atom. The energy relative to the lowest polymorph listed for this composition comes out at 136 meV/atom.